a.
First-principles (PBE) data for an optimized crystal structure of LiCr2Rh2, as listed in Alexandria.

For the spin magnetization, the calculation gives 1.14 μB/f.u.

The structure belongs to space group P4/mbm (No. 127); the cell edges are 7.318, 7.318 and 2.650 Å and the angles 90.00°, 90.00° and 90.00°. Symmetry generates all atoms from Li at (0.000, 0.000, 0.000), Cr at (0.161, 0.339, 0.500) and Rh at (0.134, 0.634, 0.000).

b.
First-principles (PBE) data for an optimized crystal structure of LiCr2Rh2, as listed in Alexandria.

For the spin magnetization, the calculation gives 0.00 μB/f.u.

The structure belongs to space group P4/mbm (No. 127); the cell edges are 7.275, 7.275 and 2.655 Å and the angles 90.00°, 90.00° and 90.00°. Symmetry generates all atoms from Li at (0.000, 0.000, 0.000), Cr at (0.112, 0.388, 0.000) and Rh at (0.175, 0.675, 0.500).

Quick one: least stable of them? a

a.
First-principles (PBE) data for an optimized crystal structure of LiCrRh, as listed in Alexandria.

For the spin magnetization, the calculation gives 2.55 μB/f.u.

The structure belongs to space group Imm2 (No. 44); the cell edges are 2.807, 3.619 and 7.833 Å and the angles 90.00°, 90.00° and 90.00°. Symmetry generates all atoms from Li at (0.000, 0.000, 0.000), Cr at (0.000, 0.000, 0.323) and Rh at (0.000, 0.000, 0.669).

b.
First-principles (PBE) data for an optimized crystal structure of LiCrRh, as listed in Alexandria.

For the spin magnetization, the calculation gives 1.05 μB/f.u.

The structure belongs to space group P3m1 (No. 156); the cell edges are 4.0747, 4.0747 and 2.6286 Å and the angles 90.00°, 90.00° and 120.00°. Symmetry generates all atoms from Li at (0.0000, 0.0000, 0.0000), Cr at (0.3333, 0.6667, 0.6593) and Rh at (0.6667, 0.3333, 0.3534).

Quick one: least stable of them? b

a.
First-principles (PBE) data for an optimized crystal structure of Li2CrRu, as listed in Alexandria.

For the spin magnetization, the calculation gives 1.71 μB/f.u.

The structure belongs to space group Immm (No. 71); the cell edges are 2.971, 3.953 and 9.173 Å and the angles 90.00°, 90.00° and 90.00°. Symmetry generates all atoms from Li at (0.000, 0.000, 0.247), Cr at (0.000, 0.500, 0.000) and Ru at (0.000, 0.500, 0.500).

b.
First-principles (PBE) data for an optimized crystal structure of Li2CrRu, as listed in Alexandria.

For the spin magnetization, the calculation gives 0.50 μB/f.u.

The structure belongs to space group P4/mmm (No. 123); the cell edges are 2.436, 2.436 and 8.995 Å and the angles 90.00°, 90.00° and 90.00°. Symmetry generates all atoms from Li at (0.000, 0.000, 0.244), Cr at (0.500, 0.500, 0.500) and Ru at (0.500, 0.500, 0.000).

c.
First-principles (PBE) data for an optimized crystal structure of Li2CrRu, as listed in Alexandria.

For the spin magnetization, the calculation gives 1.84 μB/f.u.

The structure belongs to space group Pmmm (No. 47); the cell edges are 2.999, 3.909 and 4.586 Å and the angles 90.00°, 90.00° and 90.00°. Symmetry generates all atoms from Li at (0.000, 0.000, 0.000), Li at (0.500, 0.500, 0.000), Cr at (0.000, 0.500, 0.500) and Ru at (0.500, 0.000, 0.500).

d.
First-principles (PBE) data for an optimized crystal structure of Li2CrRu, as listed in Alexandria.

For the spin magnetization, the calculation gives 2.93 μB/f.u.

The structure belongs to space group I-42d (No. 122); the cell edges are 6.875, 6.875 and 4.763 Å and the angles 90.00°, 90.00° and 90.00°. Symmetry generates all atoms from Li at (0.246, 0.750, 0.125), Cr at (0.000, 0.000, 0.500) and Ru at (0.000, 0.000, 0.000).

Quick one: least stable of them? d

a.
First-principles (PBE) data for an optimized crystal structure of Li2CrRu, as listed in Alexandria.

For the spin magnetization, the calculation gives 2.25 μB/f.u.

The structure belongs to space group P4mm (No. 99); the cell edges are 3.007, 3.007 and 6.528 Å and the angles 90.00°, 90.00° and 90.00°. Symmetry generates all atoms from Li at (0.000, 0.000, 0.000), Li at (0.500, 0.500, 0.271), Cr at (0.500, 0.500, 0.715) and Ru at (0.000, 0.000, 0.532).

b.
First-principles (PBE) data for an optimized crystal structure of Li2CrRu, as listed in Alexandria.

For the spin magnetization, the calculation gives 0.78 μB/f.u.

The structure belongs to space group Cmmm (No. 65); the cell edges are 2.659, 4.311 and 9.387 Å and the angles 90.00°, 90.00° and 90.00°. Symmetry generates all atoms from Li at (0.000, 0.000, 0.244), Cr at (0.000, 0.500, 0.500) and Ru at (0.000, 0.500, 0.000).

c.
First-principles (PBE) data for an optimized crystal structure of Li2CrRu, as listed in Alexandria.

For the spin magnetization, the calculation gives 1.15 μB/f.u.

The structure belongs to space group R-3m (No. 166, hexagonal axes); the cell edges are 2.5839, 2.5839 and 28.1786 Å and the angles 90.00°, 90.00° and 120.00°. Symmetry generates all atoms from Li at (0.0000, 0.0000, 0.2477), Cr at (0.0000, 0.0000, 0.0000) and Ru at (0.0000, 0.0000, 0.5000).

d.
First-principles (PBE) data for an optimized crystal structure of Li2CrRu, as listed in Alexandria.

For the spin magnetization, the calculation gives 1.99 μB/f.u.

The structure belongs to space group F-43m (No. 216); the cell edges are 5.908, 5.908 and 5.908 Å and the angles 90.00°, 90.00° and 90.00°. Symmetry generates all atoms from Li at (0.000, 0.000, 0.000), Li at (0.250, 0.250, 0.250), Cr at (0.250, 0.250, 0.750) and Ru at (0.000, 0.000, 0.500).

Quick one: least stable of them? c

a.
First-principles (PBE) data for an optimized crystal structure of Li2CrRu, as listed in Alexandria.

For the spin magnetization, the calculation gives 2.73 μB/f.u.

The structure belongs to space group C2/m (No. 12); the cell edges are 4.957, 9.342 and 2.696 Å and the angles 90.00°, 117.17° and 90.00°. Symmetry generates all atoms from Li at (0.250, 0.250, 0.000), Cr at (0.000, 0.000, 0.500) and Ru at (0.000, 0.500, 0.500).

b.
First-principles (PBE) data for an optimized crystal structure of Li2CrRu, as listed in Alexandria.

For the spin magnetization, the calculation gives 0.00 μB/f.u.

The structure belongs to space group Cm (No. 8); the cell edges are 8.306, 2.533 and 5.147 Å and the angles 90.00°, 92.74° and 90.00°. Symmetry generates all atoms from Li at (0.000, 0.000, 0.000), Li at (0.248, 0.000, 0.779), Cr at (0.248, 0.500, 0.307) and Ru at (0.004, 0.500, 0.480).

Quick one: least stable of them? a

a.
First-principles (PBE) data for an optimized crystal structure of Li2CrRu, as listed in Alexandria.

For the spin magnetization, the calculation gives 0.49 μB/f.u.

The structure belongs to space group Pm (No. 6); the cell edges are 2.532, 4.104 and 5.311 Å and the angles 90.00°, 98.19° and 90.00°. Symmetry generates all atoms from Li at (0.000, 0.000, 0.000), Li at (0.267, 0.500, 0.777), Cr at (0.510, 0.000, 0.468) and Ru at (0.756, 0.500, 0.300).

b.
First-principles (PBE) data for an optimized crystal structure of Li2CrRu, as listed in Alexandria.

For the spin magnetization, the calculation gives 0.00 μB/f.u.

The structure belongs to space group Fm-3m (No. 225); the cell edges are 5.760, 5.760 and 5.760 Å and the angles 90.00°, 90.00° and 90.00°. Symmetry generates all atoms from Li at (0.250, 0.250, 0.250), Cr at (0.000, 0.000, 0.000) and Ru at (0.000, 0.000, 0.500).

Quick one: least stable of them? b

a.
First-principles (PBE) data for an optimized crystal structure of LiCrRu, as listed in Alexandria.

For the spin magnetization, the calculation gives 0.00 μB/f.u.

The structure belongs to space group P2_1/m (No. 11); the cell edges are 2.743, 3.823 and 7.902 Å and the angles 90.00°, 98.89° and 90.00°. Symmetry generates all atoms from Li at (0.206, 0.250, 0.422), Cr at (0.036, 0.250, 0.088) and Ru at (0.410, 0.250, 0.800).

b.
First-principles (PBE) data for an optimized crystal structure of LiCrRu, as listed in Alexandria.

For the spin magnetization, the calculation gives 0.00 μB/f.u.

The structure belongs to space group Imm2 (No. 44); the cell edges are 2.606, 3.995 and 7.149 Å and the angles 90.00°, 90.00° and 90.00°. Symmetry generates all atoms from Li at (0.000, 0.000, 0.000), Cr at (0.000, 0.000, 0.665) and Ru at (0.000, 0.000, 0.338).

Quick one: least stable of them? b

a.
First-principles (PBE) data for an optimized crystal structure of LiCrRu, as listed in Alexandria.

For the spin magnetization, the calculation gives 0.00 μB/f.u.

The structure belongs to space group P3m1 (No. 156); the cell edges are 4.1181, 4.1181 and 2.5439 Å and the angles 90.00°, 90.00° and 120.00°. Symmetry generates all atoms from Li at (0.0000, 0.0000, 0.0000), Cr at (0.3333, 0.6667, 0.6430) and Ru at (0.6667, 0.3333, 0.3853).

b.
First-principles (PBE) data for an optimized crystal structure of LiCrRu, as listed in Alexandria.

For the spin magnetization, the calculation gives 0.26 μB/f.u.

The structure belongs to space group Fmm2 (No. 42); the cell edges are 2.811, 4.306 and 13.411 Å and the angles 90.00°, 90.00° and 90.00°. Symmetry generates all atoms from Li at (0.000, 0.000, 0.000), Cr at (0.000, 0.000, 0.324) and Ru at (0.000, 0.000, 0.672).

Quick one: least stable of them? b

a.
First-principles (PBE) data for an optimized crystal structure of LiCrRu, as listed in Alexandria.

For the spin magnetization, the calculation gives 1.25 μB/f.u.

The structure belongs to space group I4mm (No. 107); the cell edges are 3.004, 3.004 and 8.524 Å and the angles 90.00°, 90.00° and 90.00°. Symmetry generates all atoms from Li at (0.000, 0.000, 0.000), Cr at (0.000, 0.000, 0.321) and Ru at (0.000, 0.000, 0.675).

b.
First-principles (PBE) data for an optimized crystal structure of LiCrRu, as listed in Alexandria.

For the spin magnetization, the calculation gives 1.34 μB/f.u.

The structure belongs to space group F-43m (No. 216); the cell edges are 5.648, 5.648 and 5.648 Å and the angles 90.00°, 90.00° and 90.00°. Symmetry generates all atoms from Li at (0.000, 0.000, 0.000), Cr at (0.000, 0.000, 0.500) and Ru at (0.250, 0.250, 0.750).

Quick one: least stable of them? b

a.
First-principles (PBE) data for an optimized crystal structure of LiCr3S, as listed in Alexandria.

For the spin magnetization, the calculation gives 8.99 μB/f.u.

The structure belongs to space group Pm-3m (No. 221); the cell edges are 4.227, 4.227 and 4.227 Å and the angles 90.00°, 90.00° and 90.00°. Symmetry generates all atoms from Li at (0.000, 0.000, 0.000), Cr at (0.000, 0.000, 0.500) and S at (0.500, 0.500, 0.500).

b.
First-principles (PBE) data for an optimized crystal structure of LiCr3S, as listed in Alexandria.

For the spin magnetization, the calculation gives 1.58 μB/f.u.

The structure belongs to space group Pm-3m (No. 221); the cell edges are 4.183, 4.183 and 4.183 Å and the angles 90.00°, 90.00° and 90.00°. Symmetry generates all atoms from Li at (0.000, 0.000, 0.000), Cr at (0.000, 0.500, 0.500) and S at (0.500, 0.500, 0.500).

Quick one: least stable of them? a

a.
First-principles (PBE) data for an optimized crystal structure of Li3CrS, as listed in Alexandria.

For the spin magnetization, the calculation gives 5.03 μB/f.u.

The structure belongs to space group Pm-3m (No. 221); the cell edges are 4.653, 4.653 and 4.653 Å and the angles 90.00°, 90.00° and 90.00°. Symmetry generates all atoms from Li at (0.000, 0.000, 0.500), Cr at (0.500, 0.500, 0.500) and S at (0.000, 0.000, 0.000).

b.
First-principles (PBE) data for an optimized crystal structure of Li3CrS, as listed in Alexandria.

For the spin magnetization, the calculation gives 5.01 μB/f.u.

The structure belongs to space group Pm-3m (No. 221); the cell edges are 4.847, 4.847 and 4.847 Å and the angles 90.00°, 90.00° and 90.00°. Symmetry generates all atoms from Li at (0.000, 0.000, 0.500), Cr at (0.000, 0.000, 0.000) and S at (0.500, 0.500, 0.500).

Quick one: least stable of them? b

a.
First-principles (PBE) data for an optimized crystal structure of LiCrSb2, as listed in Alexandria.

For the spin magnetization, the calculation gives 3.41 μB/f.u.

The structure belongs to space group I-4m2 (No. 119); the cell edges are 4.041, 4.041 and 10.012 Å and the angles 90.00°, 90.00° and 90.00°. Symmetry generates all atoms from Li at (0.000, 0.000, 0.000), Cr at (0.000, 0.500, 0.250), Sb at (0.000, 0.000, 0.500) and Sb at (0.000, 0.500, 0.750).

b.
First-principles (PBE) data for an optimized crystal structure of LiCrSb2, as listed in Alexandria.

For the spin magnetization, the calculation gives 1.01 μB/f.u.

The structure belongs to space group I-42d (No. 122); the cell edges are 6.536, 6.536 and 11.295 Å and the angles 90.00°, 90.00° and 90.00°. Symmetry generates all atoms from Li at (0.000, 0.000, 0.000), Cr at (0.000, 0.000, 0.500) and Sb at (0.207, 0.250, 0.625).

Quick one: least stable of them? b